# 1
# CaYBr2 (SCAN, single point on PBEsol structure)
data_CaYBr2
_symmetry_space_group_name_H-M 'P 1'
_symmetry_Int_Tables_number 1
_symmetry_space_group_name_Hall 'P 1'
_cell_length_a 3.623
_cell_length_b 4.638
_cell_length_c 6.701
_cell_angle_alpha 90.00
_cell_angle_beta 90.00
_cell_angle_gamma 90.00
loop_
_atom_site_label
_atom_site_fract_x
_atom_site_fract_y
_atom_site_fract_z
Br1 0.000 0.000 0.000
Y1 0.000 0.500 0.500
Ca1 0.500 0.500 0.000
Br2 0.500 0.000 0.500
# Formation energy without anion corrections in eV/atom: -1.155
# Total DFT energy (no corrections) in eV per atom: -20.26

# 2
# LaYC3 (SCAN, single point on PBEsol structure)
data_LaYC3
_symmetry_space_group_name_H-M 'P 1'
_symmetry_Int_Tables_number 1
_symmetry_space_group_name_Hall 'P 1'
_cell_length_a 7.300
_cell_length_b 7.300
_cell_length_c 7.300
_cell_angle_alpha 109.47
_cell_angle_beta 109.47
_cell_angle_gamma 109.47
loop_
_atom_site_label
_atom_site_fract_x
_atom_site_fract_y
_atom_site_fract_z
C1 0.250 0.784 0.534
Y1 0.900 0.900 0.400
C2 0.557 0.307 0.250
La1 0.108 0.000 0.000
Y2 0.500 0.600 0.500
La2 0.500 0.108 0.500
C3 0.716 0.466 0.250
C4 0.250 0.943 0.693
C5 0.784 0.034 0.750
Y3 0.000 0.500 0.100
C6 0.307 0.750 0.057
C7 0.750 0.716 0.966
La3 0.392 0.392 0.892
C8 0.193 0.250 0.443
Y4 0.600 0.000 0.000
La4 0.000 0.500 0.608
C9 0.750 0.557 0.807
C10 0.943 0.193 0.750
C11 0.466 0.750 0.216
C12 0.034 0.250 0.284
# E_form in eV per atom: -0.302
# Total DFT energy (no corrections) in eV per atom: -20.55

total DFT energy (no corrections) of number 1 (CaYBr2)?
-20.26 eV per atom